Na3PrHg12, relaxed, DFT PBE; energy of formation from the pure elements = -0.232 eV per atom; SG = No. 123; density of states at the Fermi level = 5.63 states/eV/cell
1.0
4.698 0.000 0.000
0.000 4.698 0.000
0.000 0.000 18.652
Na Pr Hg
3 1 12
Direct
0.000 0.000 0.000
0.000 0.000 0.248
0.000 0.000 0.752
0.000 0.000 0.500
0.000 0.500 0.125
0.000 0.500 0.373
0.000 0.500 0.627
0.000 0.500 0.875
0.500 0.000 0.125
0.500 0.000 0.373
0.500 0.000 0.627
0.500 0.000 0.875
0.500 0.500 0.000
0.500 0.500 0.251
0.500 0.500 0.500
0.500 0.500 0.749